# 1
This record from the Alexandria database describes a geometry-optimized YGaHg structure. The functional is PBE-GGA.

Calculated values
**Magnetization**: 0.00 μB per formula unit
**E_form**: -1.27 eV per formula unit

Unit cell a=4.4398 b=4.4398 c=7.2010 alpha=90.00 beta=90.00 gamma=90.00
Closest atoms and distances in Å follow each position.
Sites, in units of the cell vectors:
Y 0.2500 0.2500 0.1899  5 Hg 3.06-3.16, 4 Ga 3.15
Y 0.7500 0.7500 0.8101  5 Hg 3.06-3.16, 4 Ga 3.15
Ga 0.2500 0.7500 0.5000  4 Hg 2.92, 4 Ga 3.14, 4 Y 3.15
Ga 0.7500 0.2500 0.5000  4 Hg 2.92, 4 Ga 3.14, 4 Y 3.15
Hg 0.2500 0.2500 0.7644  4 Ga 2.92, 5 Y 3.06-3.16
Hg 0.7500 0.7500 0.2356  4 Ga 2.92, 5 Y 3.06-3.16

***

# 2
This record from the Alexandria database describes a geometry-optimized Y7Ga2Hg2 structure. The functional is PBE-GGA.

Calculated values
**Magnetization**: 0.00 μB per formula unit
**E_form**: -1.53 eV per formula unit

Unit cell a=6.6728 b=6.6728 c=7.7115 alpha=90.00 beta=90.00 gamma=110.40
Closest atoms and distances in Å follow each position.
Sites, in units of the cell vectors:
Y 0.0000 0.0000 0.0000  2 Hg 3.20
Y 0.0000 0.5000 0.2917  2 Hg 2.98, 3 Y 3.21-3.34, 2 Ga 3.23
Y 0.0000 0.5000 0.7083  2 Hg 2.98, 3 Y 3.21-3.34, 2 Ga 3.23
Y 0.5000 0.0000 0.2917  2 Hg 2.98, 3 Y 3.21-3.34, 2 Ga 3.23
Y 0.5000 0.0000 0.7083  2 Hg 2.98, 3 Y 3.21-3.34, 2 Ga 3.23
Y 0.5000 0.5000 0.2735  2 Ga 3.06, 2 Hg 3.10, 4 Y 3.34
Y 0.5000 0.5000 0.7265  2 Ga 3.06, 2 Hg 3.10, 4 Y 3.34
Ga 0.1694 0.1694 0.5000  1 Ga 2.58
Ga 0.8306 0.8306 0.5000  1 Ga 2.58
Hg 0.2924 0.7076 0.0000  7 Y 2.98-3.20
Hg 0.7076 0.2924 0.0000  7 Y 2.98-3.20